Entry from Alexandria via LeMat-Bulk: a geometry-optimized Pr8Nd6Tl structure (PBE).

Unit cell a=9.575 b=9.575 c=6.709 alpha=90.00 beta=90.00 gamma=120.00
Element x y z (fractional)
Pr 0.041 0.269 0.181
Pr 0.228 0.959 0.181
Pr 0.269 0.228 0.819
Pr 0.333 0.667 0.135
Pr 0.667 0.333 0.865
Pr 0.731 0.772 0.181
Pr 0.772 0.041 0.819
Pr 0.959 0.731 0.819
Nd 0.093 0.447 0.668
Nd 0.353 0.907 0.668
Nd 0.447 0.353 0.332
Nd 0.553 0.647 0.668
Nd 0.647 0.093 0.332
Nd 0.907 0.553 0.332
Tl 0.000 0.000 0.500

Computed properties:
Symmetry = P-3, No. 147
Raw total energy = -4.553 eV/atom
Spin magnetization = 0.00 μB/f.u.